Version i
A plane-wave DFT calculation with GGA-PBEsol was carried out for a geometry-optimized AlMo2Pb structure.

Computed properties:
* total moment: 0.000 μB/atom

Lattice parameters (Å, degrees): 3.234 4.872 4.948 98.37 90.00 109.39
Sites, in units of the cell vectors:
Mo 0.754 0.509 0.809
Al 0.500 0.000 0.000
Pb 0.000 0.000 0.500
Mo 0.246 0.491 0.191

Version ii
A plane-wave DFT calculation with GGA-PBEsol was carried out for a geometry-optimized AlMo2Pb structure.

Computed properties:
* total moment: 0.000 μB/atom

Lattice parameters (Å, degrees): 3.103 3.103 9.108 80.19 80.19 60.00
Sites, in units of the cell vectors:
Mo 0.005 0.005 0.986
Al 0.261 0.261 0.217
Mo 0.738 0.738 0.786
Pb 0.496 0.496 0.511

Among the structures above, stability is smallest for version i.